[1]
Computed, not measured: Ce6Mg23Sn at its PBEsol-relaxed geometry at the meta-GGA SCAN level of DFT.

SG = Fm-3m (225)
Raw total energy = -14.015 eV per atom
Mass density = 3.40 g/cm3
Magnetic moment = 8.36 μB per cell
Formation enthalpy at 0 K = -2.76 eV/f.u.

Geometry as POSCAR:
```
Ce6Mg23Sn
1.0
-5.378 -8.172 2.757
0.120 -8.353 -5.790
4.772 -8.366 3.247
Mg Ce Sn
23 6 1
Cartesian
2.335 -11.490 -1.218
1.526 -6.944 1.129
-1.891 -6.879 0.964
-2.689 -4.086 1.379
-2.629 -8.263 -1.516
-0.303 -15.498 0.134
-0.040 -6.940 -1.913
0.060 -4.177 -2.895
-0.183 -9.394 0.081
-0.303 -8.269 3.002
2.446 -8.360 -1.271
-0.361 -11.401 2.973
-0.081 -4.128 0.036
-0.446 -17.952 2.128
1.405 -18.013 -0.749
-2.821 -13.402 1.433
2.386 -4.183 1.624
-0.243 -12.446 0.107
-2.643 -11.395 -1.459
-0.405 -20.764 0.179
-2.012 -17.948 -0.914
-0.125 -13.491 -2.758
2.157 -13.497 1.673
-3.147 -10.029 1.606
-3.079 -14.753 -1.668
2.593 -10.139 1.883
2.661 -14.863 -1.391
-0.448 -14.760 3.442
-0.038 -10.132 -3.228
0.000 0.000 0.000
```

=====

[2]
Computed, not measured: HfZr2AlPt at its PBEsol-relaxed geometry at the meta-GGA SCAN level of DFT.

SG = P4/mmm (123)
Raw total energy = -39.363 eV per atom
Mass density = 8.19 g/cm3
Magnetic moment = 0.00 μB per cell
Formation enthalpy at 0 K = 5.20 eV/f.u.

Geometry as POSCAR:
```
HfZr2AlPt
1.0
-2.887 0.106 -3.957
2.415 -3.850 -1.865
-3.150 -3.049 2.217
Zr Al Hf Pt
2 1 1 1
Cartesian
-1.575 -1.525 1.108
1.208 -1.925 -0.932
-1.444 0.053 -1.979
0.000 0.000 0.000
-1.811 -3.397 -1.803
```

=====

[3]
Computed, not measured: FePCl at its PBEsol-relaxed geometry at the meta-GGA SCAN level of DFT.

Formation energy without anion corrections = 243 kJ/mol of formula units
SG = F-43m (216)
Raw total energy = -11.328 eV per atom
Distance to the lowest polymorph of the same formula = 1.256 eV per atom
Mass density = 3.90 g/cm3
Magnetic moment = 3.77 μB per cell

Geometry as POSCAR:
```
FePCl
1.0
4.193 0.000 0.000
2.097 3.631 0.000
2.097 1.210 3.424
P Fe Cl
1 1 1
Cartesian
2.097 1.210 0.856
4.193 2.421 1.712
0.000 0.000 0.000
```

=====

[4]
Computed, not measured: Tl3MoPt at its PBEsol-relaxed geometry at the meta-GGA SCAN level of DFT.

SG = Pm-3m (221)
Raw total energy = -63.242 eV per atom
Mass density = 10.57 g/cm3
Magnetic moment = 2.93 μB per cell
Formation enthalpy at 0 K = 5.94 eV/f.u.

Geometry as POSCAR:
```
Tl3MoPt
1.0
-1.953 2.096 -4.360
-2.025 -4.624 -1.317
-4.394 1.199 2.544
Tl Pt Mo
3 1 1
Cartesian
-1.012 -2.312 -0.658
-0.976 1.048 -2.180
-2.197 0.600 1.272
-4.186 -0.664 -1.566
0.000 0.000 0.000
```